Zn2CuAgAu5 | GGA-PBE | relaxed

a = 7.5969 Å, b = 7.5969 Å, c = 11.1506 Å
α = 90.00°, β = 90.00°, γ = 90.00°
With the nearest neighbours (Å) after each atom.
Space group I4/mcm (No. 140)
Symmetry-distinct sites (fractional):
1 Zn 0.1103 0.3897 0.0000 [8 per cell]  1 Zn 2.37, 2 Au 2.52
2 Cu 0.0000 0.5000 0.2500 [4 per cell]  4 Au 2.51
3 Ag 0.0000 0.0000 0.2500 [4 per cell]  10 Au 2.79-3.03
4 Au 0.0000 0.0000 0.0000 [4 per cell]  2 Ag 2.79, 4 Zn 3.08, 8 Au 3.12
5 Au 0.1995 0.3005 0.3670 [16 per cell]  1 Cu 2.51, 1 Zn 2.52

## Properties
The value obtained for the total DFT energy (no corrections) is -2.8089 eV per atom. For the density, the calculation gives 13.3 g/cm³. The formation energy comes out at 0.067 eV/atom.